Entry 1:
RePt3: single point on PBEsol structure, meta-GGA SCAN.

Space-group type: No. 166
Energy of formation in eV/atom: -0.078

a b c (Å): 2.7547 2.7547 9.1543
angles (deg): 81.35 81.35 60.00
Closest atoms and distances in Å follow each position.
Sites, in units of the cell vectors:
Pt  0.0000  0.0000  0.0000  12 Pt 2.75-2.82
Re  0.5000  0.5000  0.5000  6 Pt 2.70, 6 Re 2.75
Pt  0.7528  0.7528  0.7416  3 Re 2.70, 9 Pt 2.75-2.82
Pt  0.2472  0.2472  0.2584  3 Re 2.70, 9 Pt 2.75-2.82

---

Entry 2:
AsIrSe2: single point on PBEsol structure, meta-GGA SCAN.

Space-group type: No. 166
Formation energy (no corrections) in meV per atom: 345.4

a b c (Å): 2.7944 2.7944 11.6250
angles (deg): 83.10 83.10 60.00
Closest atoms and distances in Å follow each position.
Sites, in units of the cell vectors:
Se  0.9309  0.9309  0.2072  1 Ir 2.39
Ir  0.0000  0.0000  0.0000  2 Se 2.39
Se  0.0691  0.0691  0.7928  1 Ir 2.39
As  0.5000  0.5000  0.5000  6 As 2.79

---

Entry 3:
Mg2NiHg: single point on PBEsol structure, meta-GGA SCAN.

Space-group type: No. 139
Energy of formation in eV/atom: -0.194
E above lowest polymorph in meV per atom: 0.0

a b c (Å): 4.5184 4.5538 4.5184
angles (deg): 119.74 90.00 119.74
Closest atoms and distances in Å follow each position.
Sites, in units of the cell vectors:
Mg  0.2500  0.5000  0.7500  4 Hg 2.78, 4 Ni 2.78
Hg  0.0000  0.0000  0.0000  8 Mg 2.78
Ni  0.5000  0.0000  0.5000  8 Mg 2.78
Mg  0.7500  0.5000  0.2500  4 Hg 2.78, 4 Ni 2.78

---

Uncorrected energy across the listed records, respectively: -70.50 -32.52 -23.77 eV/atom.
Total moment across the listed records, respectively: 0.000 0.000 0.000 μB/f.u..